## A
## Th3Sb2Ir (PBE)

Data for a relaxed Th3Sb2Ir crystal.

Total magnetization ... 0.0 μB/cell
Space group ... I4/mmm, No. 139

Lattice parameters (Å, degrees): 4.4599 4.4598 9.6656 103.34 103.34 90.01
With the nearest neighbours (Å) after each atom.
Element x y z (fractional)
1 Th 0.9341 0.9358 0.8740  4 Ir 3.15, 2 Sb 3.21
2 Th 0.2860 0.2874 0.5774  1 Ir 2.71
3 Th 0.5825 0.5839 0.1705  1 Ir 2.71
4 Sb 0.1098 0.1111 0.2250  6 Th 3.19-3.22
5 Sb 0.7588 0.7601 0.5229  6 Th 3.19-3.22
6 Ir 0.4341 0.4359 0.8740  2 Th 2.71

## B
## Th3Sb2Ir (PBE)

Data for a relaxed Th3Sb2Ir crystal.

Total magnetization ... 0.0 μB/cell
Space group ... Immm, No. 71

Lattice parameters (Å, degrees): 6.3426 8.4439 7.7648 105.80 114.11 90.00
With the nearest neighbours (Å) after each atom.
Element x y z (fractional)
1 Th 0.4998 0.2500 0.0000  2 Ir 3.17, 4 Sb 3.21
2 Th 0.5002 0.7500 0.0000  2 Ir 3.17, 4 Sb 3.21
3 Th 0.1403 0.0700 0.2805  2 Ir 2.84
4 Th 0.8598 0.4300 0.7195  2 Ir 2.84
5 Th 0.1402 0.5700 0.2805  2 Ir 2.84
6 Th 0.8597 0.9300 0.7195  2 Ir 2.84
7 Sb 0.6783 0.5893 0.3567  6 Th 3.21-3.24
8 Sb 0.6784 0.0893 0.3567  6 Th 3.21-3.24
9 Sb 0.3216 0.9107 0.6433  6 Th 3.21-3.24
10 Sb 0.3217 0.4107 0.6433  6 Th 3.21-3.24
11 Ir 0.0001 0.7500 0.0000  6 Th 2.84-3.17
12 Ir 0.9999 0.2500 0.0000  6 Th 2.84-3.17

If you had to name the least stable structure above, which would it be? It would be B.